Compound: Rb2Sr2Ga
Source: the Alexandria database
Functional: PBE
Structure: relaxed

Cell lengths 8.674, 8.674, 7.711 Å; angles 90.00, 90.00, 90.00 degrees
Space group P4/mbm (No. 127)
One atom of each set of equivalent atoms:
Rb1 0.180 0.320 0.000 x4
Sr1 0.174 0.674 0.500 x4
Ga1 0.000 0.000 0.500 x2

Theoretical density ... 2.38 g/cm3
Calculated formation energy ... 0.50 eV per formula unit
Crystal system ... tetragonal
VASP energy ... -1.565 eV/atom

Compound: AcLaPr2
Source: the Alexandria database
Functional: PBE
Structure: relaxed

Cell lengths 3.6974, 3.6974, 39.3610 Å; angles 90.00, 90.00, 120.00 degrees
Space group R-3m (No. 166, hexagonal axes)
One atom of each set of equivalent atoms:
Ac1 0.0000 0.0000 0.0000 x3
La1 0.0000 0.0000 0.5000 x3
Pr1 0.0000 0.0000 0.4119 x6

Theoretical density ... 6.92 g/cm3
Calculated formation energy ... 0.65 eV per formula unit
Crystal system ... trigonal
ΔE to the lowest computed polymorph ... 0.1492 eV/atom
VASP energy ... -4.487 eV/atom

Compound: Tb8YEr3
Source: the Alexandria database
Functional: PBE
Structure: relaxed

Cell lengths 7.679, 7.679, 15.350 Å; angles 90.00, 90.00, 90.00 degrees
Space group I4/mmm (No. 139)
One atom of each set of equivalent atoms:
Tb1 0.249 0.249 0.126 x16
Y1 0.000 0.000 0.500 x2
Er1 0.000 0.000 0.000 x2
Er2 0.000 0.500 0.250 x4

Theoretical density ... 6.83 g/cm3
Calculated formation energy ... 8.74 eV per formula unit
Crystal system ... tetragonal
VASP energy ... -4.038 eV/atom

Compound: Pm2GeSe3
Source: the Alexandria database
Functional: PBE
Structure: relaxed

Cell lengths 3.750, 5.152, 16.046 Å; angles 90.00, 90.00, 90.00 degrees
Space group Immm (No. 71)
One atom of each set of equivalent atoms:
Pm1 0.000 0.000 0.144 x4
Ge1 0.000 0.000 0.500 x2
Se1 0.000 0.000 0.327 x4
Se2 0.000 0.500 0.500 x2

Theoretical density ... 6.42 g/cm3
Crystal system ... orthorhombic
VASP energy ... -5.283 eV/atom

Compound: PmPr2Cu6
Source: the Alexandria database
Functional: PBE
Structure: relaxed

Cell lengths 7.4330, 7.4330, 3.7786 Å; angles 90.00, 90.00, 120.00 degrees
Space group P6/mmm (No. 191)
One atom of each set of equivalent atoms:
Pm1 0.0000 0.0000 0.0000 x1
Pr1 0.3333 0.6667 0.0000 x2
Cu1 0.0000 0.3322 0.5000 x6

Theoretical density ... 7.42 g/cm3
Calculated formation energy ... -1.92 eV per formula unit
Crystal system ... hexagonal
VASP energy ... -4.534 eV/atom

Compound: BaPbSe3
Source: the Alexandria database
Functional: PBE
Structure: relaxed

Cell lengths 5.909, 5.909, 5.909 Å; angles 90.00, 90.00, 90.00 degrees
Space group Pm-3m (No. 221)
One atom of each set of equivalent atoms:
Ba1 0.000 0.000 0.000 x1
Pb1 0.500 0.500 0.500 x1
Se1 0.000 0.000 0.500 x3

Theoretical density ... 4.68 g/cm3
Crystal system ... cubic
ΔE to the lowest computed polymorph ... 0.7491 eV/atom
VASP energy ... -3.167 eV/atom

Compound: LiMgIn2Cl5
Source: the Alexandria database
Functional: PBE
Structure: relaxed

Cell lengths 3.853, 17.919, 14.055 Å; angles 90.00, 90.00, 90.00 degrees
Space group Cmc2_1 (No. 36)
One atom of each set of equivalent atoms:
Li1 0.000 0.064 0.000 x4
Mg1 0.000 0.288 0.580 x4
In1 0.000 0.370 0.868 x4
In2 0.000 0.403 0.217 x4
Cl1 0.000 0.001 0.855 x4
Cl2 0.000 0.149 0.554 x4
Cl3 0.000 0.195 0.961 x4
Cl4 0.000 0.224 0.200 x4
Cl5 0.000 0.431 0.598 x4

Theoretical density ... 3.00 g/cm3
Crystal system ... orthorhombic
VASP energy ... -3.395 eV/atom

Compound: MgCdAs2
Source: the Alexandria database
Functional: PBE
Structure: relaxed

Cell lengths 8.534, 3.820, 7.029 Å; angles 90.00, 120.02, 90.00 degrees
Space group C2/m (No. 12)
One atom of each set of equivalent atoms:
Mg1 0.000 0.000 0.000 x2
Cd1 0.000 0.000 0.500 x2
As1 0.139 0.500 0.824 x4

Theoretical density ... 4.80 g/cm3
Calculated formation energy ... -0.49 eV per formula unit
Crystal system ... monoclinic
ΔE to the lowest computed polymorph ... 0.0000 eV/atom
VASP energy ... -3.074 eV/atom

Compound: Ac3Zn2InAu6
Source: the Alexandria database
Functional: PBE
Structure: relaxed

Cell lengths 6.5280, 6.5280, 8.5407 Å; angles 90.00, 90.00, 120.00 degrees
Space group P-3m1 (No. 164)
One atom of each set of equivalent atoms:
Ac1 0.0000 0.0000 0.0000 x1
Ac2 0.3333 0.6667 0.6340 x2
Zn1 0.3333 0.6667 0.0226 x2
In1 0.0000 0.0000 0.5000 x1
Au1 0.1863 0.3727 0.2795 x6

Theoretical density ... 11.11 g/cm3
Calculated formation energy ... -5.79 eV per formula unit
Crystal system ... trigonal
VASP energy ... -3.588 eV/atom

Compound: CuAg3Br6
Source: the Alexandria database
Functional: PBE
Structure: relaxed

Cell lengths 4.317, 6.720, 19.493 Å; angles 90.00, 93.54, 90.00 degrees
Space group P2_1/c (No. 14)
One atom of each set of equivalent atoms:
Cu1 0.000 0.000 0.000 x2
Ag1 0.267 0.110 0.815 x4
Ag2 0.500 0.000 0.500 x2
Br1 0.045 0.710 0.076 x4
Br2 0.273 0.035 0.255 x4
Br3 0.333 0.668 0.421 x4

Theoretical density ... 5.10 g/cm3
Crystal system ... monoclinic
ΔE to the lowest computed polymorph ... 0.0000 eV/atom
VASP energy ... -2.541 eV/atom

Compound: K2Mg2Zn
Source: the Alexandria database
Functional: PBE
Structure: relaxed

Cell lengths 4.246, 4.246, 21.605 Å; angles 90.00, 90.00, 90.00 degrees
Space group I4/mmm (No. 139)
One atom of each set of equivalent atoms:
K1 0.000 0.000 0.099 x4
Mg1 0.000 0.500 0.250 x4
Zn1 0.000 0.000 0.500 x2

Theoretical density ... 1.64 g/cm3
Calculated formation energy ... 1.22 eV per formula unit
Crystal system ... tetragonal
ΔE to the lowest computed polymorph ... 0.0000 eV/atom
VASP energy ... -1.087 eV/atom

Compound: Tb3Nd2YEr6
Source: the Alexandria database
Functional: PBE
Structure: relaxed

Cell lengths 6.162, 10.666, 11.749 Å; angles 90.00, 100.02, 90.00 degrees
Space group C2/m (No. 12)
One atom of each set of equivalent atoms:
Tb1 0.000 0.000 0.000 x2
Tb2 0.000 0.333 0.000 x4
Nd1 0.000 0.167 0.500 x4
Y1 0.000 0.500 0.500 x2
Er1 0.248 0.500 0.247 x4
Er2 0.249 0.167 0.248 x8

Theoretical density ... 8.11 g/cm3
Calculated formation energy ... 0.22 eV per formula unit
Crystal system ... monoclinic
VASP energy ... -4.754 eV/atom